# 1
A plane-wave DFT calculation with GGA-PBE was carried out for a geometry-optimized MnPRuCN structure.

Values from the calculation:
Raw formation energy: 0.07 eV per atom
E_tot: -0.3018 Ha/atom
Crystal system: orthorhombic
V: 50.41 Å³ per cell
Energy above the lowest structure with this stoichiometry: 0.034 eV per atom

Cell lengths 7.009, 7.009, 7.009 Å; angles 157.65, 157.34, 32.04 degrees
Element x y z (fractional)
Mn 0.000 0.000 0.000
P 0.310 0.310 0.000
Ru 0.676 0.176 0.500
C 0.559 0.559 0.000
N 0.389 0.889 0.500

# 2
A plane-wave DFT calculation with GGA-PBE was carried out for a geometry-optimized MnPRuCN structure.

Values from the calculation:
Raw formation energy: 0.03 eV per atom
E_tot: -0.3031 Ha/atom
Crystal system: orthorhombic
V: 52.95 Å³ per cell
Energy above the lowest structure with this stoichiometry: 0.000 eV per atom

Cell lengths 2.673, 7.163, 7.163 Å; angles 22.71, 90.00, 90.00 degrees
Element x y z (fractional)
Mn 0.000 0.000 0.000
P 0.500 0.211 0.211
Ru 0.500 0.842 0.842
C 0.500 0.460 0.460
N 0.000 0.139 0.139

# 3
A plane-wave DFT calculation with GGA-PBE was carried out for a geometry-optimized Pm2MnC2N6 structure.

Values from the calculation:
Raw formation energy: -0.56 eV per atom
E_tot: -0.3114 Ha/atom
Crystal system: monoclinic
V: 116.12 Å³ per cell

Cell lengths 5.095, 5.095, 5.993 Å; angles 115.42, 115.42, 59.13 degrees
Element x y z (fractional)
Pm 0.212 0.212 0.189
Pm 0.788 0.788 0.811
Mn 0.000 0.000 0.500
C 0.433 0.433 0.727
C 0.567 0.567 0.273
N 0.240 0.707 0.230
N 0.263 0.263 0.660
N 0.293 0.760 0.770
N 0.707 0.240 0.230
N 0.737 0.737 0.340
N 0.760 0.293 0.770

# 4
A plane-wave DFT calculation with GGA-PBE was carried out for a geometry-optimized Pm2Mn2C2N structure.

Values from the calculation:
Raw formation energy: -0.47 eV per atom
E_tot: -0.3041 Ha/atom
Crystal system: monoclinic
V: 92.53 Å³ per cell

Cell lengths 5.400, 5.400, 6.367 Å; angles 121.56, 121.56, 36.68 degrees
Element x y z (fractional)
Pm 0.068 0.068 0.330
Pm 0.932 0.932 0.670
Mn 0.299 0.299 0.915
Mn 0.701 0.701 0.085
C 0.304 0.304 0.237
C 0.696 0.696 0.763
N 0.500 0.500 0.000

# 5
A plane-wave DFT calculation with GGA-PBE was carried out for a geometry-optimized Pr2MnC2N6 structure.

Values from the calculation:
Raw formation energy: -0.52 eV per atom
E_tot: -0.3103 Ha/atom
Crystal system: monoclinic
V: 119.57 Å³ per cell

Cell lengths 5.149, 5.149, 6.042 Å; angles 115.28, 115.28, 58.92 degrees
Element x y z (fractional)
Pr 0.213 0.213 0.188
Pr 0.787 0.787 0.812
Mn 0.000 0.000 0.500
C 0.430 0.430 0.724
C 0.570 0.570 0.276
N 0.247 0.712 0.236
N 0.263 0.263 0.666
N 0.288 0.753 0.764
N 0.712 0.247 0.236
N 0.737 0.737 0.334
N 0.753 0.288 0.764

# 6
A plane-wave DFT calculation with GGA-PBE was carried out for a geometry-optimized Pr3MnC2N6 structure.

Values from the calculation:
Raw formation energy: -0.57 eV per atom
E_tot: -0.3025 Ha/atom
Crystal system: trigonal
V: 162.54 Å³ per cell

Cell lengths 5.388, 5.388, 6.466 Å; angles 90.00, 90.00, 120.00 degrees
Element x y z (fractional)
Pr 0.000 0.000 0.000
Pr 0.333 0.667 0.663
Pr 0.667 0.333 0.337
Mn 0.000 0.000 0.500
C 0.333 0.667 0.271
C 0.667 0.333 0.729
N 0.186 0.373 0.282
N 0.186 0.814 0.282
N 0.373 0.186 0.718
N 0.627 0.814 0.282
N 0.814 0.186 0.718
N 0.814 0.627 0.718